a:
The following is a DFT calculation (PBE) of a geometry-optimized NbAsI3 structure.

Results
**Symmetry**: No. 221

Cell: 5.6620 5.6620 5.6620 Å, 90.00 90.00 90.00°
Closest atoms and distances in Å follow each position.
Atoms (fractional coordinates):
Nb  0.0000  0.0000  0.0000  12 I 4.00
As  0.5000  0.5000  0.5000  6 I 2.83
I  0.0000  0.5000  0.5000  2 As 2.83
I  0.5000  0.0000  0.5000  2 As 2.83
I  0.5000  0.5000  0.0000  2 As 2.83

b:
The following is a DFT calculation (PBE) of a geometry-optimized NbAsI3 structure.

Results
**Symmetry**: No. 221

Cell: 5.7160 5.7160 5.7160 Å, 90.00 90.00 90.00°
Closest atoms and distances in Å follow each position.
Atoms (fractional coordinates):
Nb  0.0000  0.0000  0.0000  6 I 2.86
As  0.5000  0.5000  0.5000  12 I 4.04
I  0.0000  0.0000  0.5000  2 Nb 2.86
I  0.0000  0.5000  0.0000  2 Nb 2.86
I  0.5000  0.0000  0.0000  2 Nb 2.86

Ranking the structures above by energy, b is first and the second is 456 meV/atom behind.